# Nd2Ge4Ir3Pd PBE relaxed
# - E_form (eV per atom) = -0.777
# - space-group type = No. 115
# - Fermi-level density of states (states/eV per cell) = 5.932
data_Nd2Ge4Ir3Pd
_cell_length_a 4.306
_cell_length_b 4.306
_cell_length_c 10.175
_cell_angle_alpha 90.00
_cell_angle_beta 90.00
_cell_angle_gamma 90.00
_symmetry_space_group_name_H-M 'P 1'
_symmetry_Int_Tables_number 1
_symmetry_space_group_name_Hall 'P 1'
loop_
_atom_site_label
_atom_site_type_symbol
_atom_site_fract_x
_atom_site_fract_y
_atom_site_fract_z
_atom_site_occupancy
Ge1 Ge 0.500 0.000 0.634 1
Ge2 Ge 0.000 0.500 0.366 1
Ge3 Ge 0.000 0.000 0.000 1
Ge4 Ge 0.500 0.500 0.000 1
Ir1 Ir 0.000 0.000 0.500 1
Ir2 Ir 0.500 0.000 0.874 1
Ir3 Ir 0.000 0.500 0.126 1
Pd1 Pd 0.500 0.500 0.500 1
Nd1 Nd 0.000 0.500 0.759 1
Nd2 Nd 0.500 0.000 0.241 1

***

# Nd2Ge3Ir4Pd PBE relaxed
# - E_form (eV per atom) = -0.678
# - space-group type = No. 115
# - Fermi-level density of states (states/eV per cell) = 5.581
data_Nd2Ge3Ir4Pd
_cell_length_a 4.202
_cell_length_b 4.202
_cell_length_c 10.641
_cell_angle_alpha 90.00
_cell_angle_beta 90.00
_cell_angle_gamma 90.00
_symmetry_space_group_name_H-M 'P 1'
_symmetry_Int_Tables_number 1
_symmetry_space_group_name_Hall 'P 1'
loop_
_atom_site_label
_atom_site_type_symbol
_atom_site_fract_x
_atom_site_fract_y
_atom_site_fract_z
_atom_site_occupancy
Ir1 Ir 0.000 0.500 0.356 1
Ir2 Ir 0.500 0.000 0.644 1
Ir3 Ir 0.000 0.000 0.000 1
Ir4 Ir 0.500 0.500 0.000 1
Ge1 Ge 0.000 0.500 0.128 1
Ge2 Ge 0.000 0.000 0.500 1
Ge3 Ge 0.500 0.000 0.872 1
Pd1 Pd 0.500 0.500 0.500 1
Nd1 Nd 0.500 0.000 0.249 1
Nd2 Nd 0.000 0.500 0.751 1

***

# PmNdGeIr PBE relaxed
# - E_form (eV per atom) = -0.555
# - space-group type = No. 216
# - Fermi-level density of states (states/eV per cell) = 3.032
data_PmNdGeIr
_cell_length_a 5.115
_cell_length_b 5.115
_cell_length_c 5.115
_cell_angle_alpha 60.00
_cell_angle_beta 60.00
_cell_angle_gamma 60.00
_symmetry_space_group_name_H-M 'P 1'
_symmetry_Int_Tables_number 1
_symmetry_space_group_name_Hall 'P 1'
loop_
_atom_site_label
_atom_site_type_symbol
_atom_site_fract_x
_atom_site_fract_y
_atom_site_fract_z
_atom_site_occupancy
Ge1 Ge 0.500 0.500 0.500 1
Pm1 Pm 0.750 0.750 0.750 1
Ir1 Ir 0.000 0.000 0.000 1
Nd1 Nd 0.250 0.250 0.250 1

***

# PmNdGeIr PBE relaxed
# - E_form (eV per atom) = -0.769
# - space-group type = No. 38
# - Fermi-level density of states (states/eV per cell) = 2.518
data_PmNdGeIr
_cell_length_a 4.257
_cell_length_b 4.200
_cell_length_c 5.836
_cell_angle_alpha 90.00
_cell_angle_beta 111.39
_cell_angle_gamma 90.00
_symmetry_space_group_name_H-M 'P 1'
_symmetry_Int_Tables_number 1
_symmetry_space_group_name_Hall 'P 1'
loop_
_atom_site_label
_atom_site_type_symbol
_atom_site_fract_x
_atom_site_fract_y
_atom_site_fract_z
_atom_site_occupancy
Ir1 Ir 0.423 0.000 0.847 1
Ge1 Ge 0.570 0.500 0.140 1
Pm1 Pm 0.863 0.500 0.726 1
Nd1 Nd 0.144 0.000 0.288 1